This record from Alexandria describes MnTl2Si2O6 after structural relaxation. The functional is GGA+U.

abc: 5.825 5.825 6.902
angles: 65.04 65.04 60.00
Last column: magnetic moment on the atom in μB.
Positions (direct):
O: 0.751 0.279 0.220  0.01
O: 0.279 0.751 0.220  0.01
O: 0.249 0.721 0.780  0.01
O: 0.751 0.751 0.220  0.01
O: 0.721 0.249 0.780  0.01
O: 0.249 0.249 0.780  0.01
Si: 0.596 0.596 0.211  0.02
Si: 0.404 0.404 0.789  0.02
Tl: 0.207 0.207 0.380  0.00
Tl: 0.793 0.793 0.620  0.00
Mn: 0.000 0.000 0.000  4.66

* spin magnetization: 5.0 Bohr magnetons per cell
* mass density: 5.8 Mg/m³
* E_tot: -6.56 eV/atom
* D(E_F): 0.00 states/eV per atom
* crystal system: trigonal